1.
TbPrNi8B2: relaxed, GGA-PBE.

```
12
Lattice="5.0542 0.0000 0.0000 -2.5271 4.3771 0.0000 0.0000 0.0000 6.9836" Properties=species:S:1:pos:R:3 pbc="T T T"
Tb 0.0000 0.0000 0.0000
Pr 0.0000 0.0000 3.4918
Ni -1.2636 2.1885 2.0308
Ni -1.2636 2.1885 4.9528
Ni 0.0000 2.9180 0.0000
Ni 2.5271 0.0000 2.0308
Ni 2.5271 0.0000 4.9528
Ni 1.2636 2.1885 2.0308
Ni 1.2636 2.1885 4.9528
Ni 2.5271 1.4590 0.0000
B 0.0000 2.9180 3.4918
B 2.5271 1.4590 3.4918
```

Values from the calculation:
calculated volume: 12.88 A^3/atom
relative energy among the computed polymorphs: 36 meV per atom
total DFT energy (no corrections): -6.03 eV/atom


2.
LaHgAu2: relaxed, GGA-PBE.

```
16
Lattice="8.2884 0.0000 0.0000 0.0000 7.6097 0.0000 0.0000 0.0000 6.0391" Properties=species:S:1:pos:R:3 pbc="T T T"
La 0.3880 1.9024 0.9218
La 3.7562 5.7073 3.9414
La 4.5322 1.9024 2.0978
La 7.9004 5.7073 5.1173
Hg 0.7506 5.7073 2.1632
Hg 3.3936 1.9024 5.1828
Hg 4.8948 5.7073 0.8564
Hg 7.5377 1.9024 3.8760
Au 1.7410 0.4214 3.4468
Au 1.7410 3.3835 3.4468
Au 2.4032 4.2263 0.4273
Au 2.4032 7.1883 0.4273
Au 5.8851 0.4214 5.6119
Au 5.8851 3.3835 5.6119
Au 6.5474 4.2263 2.5923
Au 6.5474 7.1883 2.5923
```

Values from the calculation:
energy relative to the elements: -530 meV/atom
calculated volume: 23.81 A^3/atom
total DFT energy (no corrections): -3.47 eV/atom


3.
DyCo: relaxed, GGA-PBE.

```
4
Lattice="4.4728 0.0000 0.0000 -2.2364 3.8736 0.0000 0.0000 0.0000 5.4593" Properties=species:S:1:pos:R:3 pbc="T T T"
Dy 0.0000 2.5824 1.3648
Dy 2.2364 1.2912 4.0945
Co 0.0000 2.5824 4.0945
Co 2.2364 1.2912 1.3648
```

Values from the calculation:
energy relative to the elements: 569 meV/atom
calculated volume: 23.65 A^3/atom
total DFT energy (no corrections): -5.29 eV/atom


4.
CdTe2As: relaxed, GGA-PBE.

```
4
Lattice="0.0000 3.6863 3.6863 3.6863 0.0000 3.6863 3.6863 3.6863 0.0000" Properties=species:S:1:pos:R:3 pbc="T T T"
Cd 0.0000 0.0000 0.0000
Te 1.8431 1.8431 1.8431
Te 3.6863 3.6863 3.6863
As 5.5294 5.5294 5.5294
```

Values from the calculation:
calculated volume: 25.05 A^3/atom
total DFT energy (no corrections): -2.61 eV/atom


5.
Sr4Pa4O11: relaxed, GGA-PBE.

```
19
Lattice="6.1340 0.0000 0.0000 0.0401 6.2647 0.0000 0.0074 0.0332 8.7276" Properties=species:S:1:pos:R:3 pbc="T T T"
Sr 0.0000 0.0000 0.0000
Sr 0.1367 5.7966 4.3905
Sr 3.0831 2.6100 4.4113
Sr 3.2001 3.1832 8.6870
Pa 0.0363 2.8804 2.1609
Pa 0.0875 2.8950 6.5417
Pa 3.1664 6.0550 2.1466
Pa 3.1778 6.0250 6.5284
O 0.7738 2.5786 8.7232
O 1.2823 1.0006 6.0086
O 1.2757 1.0230 2.7090
O 1.9864 4.1087 6.0583
O 2.4751 5.7244 8.7204
O 3.8128 0.0849 4.3212
O 4.3593 1.6450 7.0358
O 4.3975 1.5905 1.5406
O 4.9931 4.7685 1.6311
O 5.0477 4.8034 7.0575
O 5.5312 3.1992 4.3409
```

Values from the calculation:
calculated volume: 17.65 A^3/atom
total DFT energy (no corrections): -7.96 eV/atom


6.
Nd2NbO4: relaxed, GGA-PBE.

```
14
Lattice="0.0000 4.8079 4.8079 4.8079 0.0000 4.8079 4.8079 4.8079 0.0000" Properties=species:S:1:pos:R:3 pbc="T T T"
Nd 0.0000 0.0000 0.0000
Nd 2.4039 2.4039 0.0000
Nd 2.4039 0.0000 2.4039
Nd 0.0000 2.4039 2.4039
Nb 3.6059 3.6059 3.6059
Nb 6.0098 6.0098 6.0098
O 2.4838 2.4838 2.4838
O 4.7280 4.7280 2.4838
O 4.7280 2.4838 4.7280
O 7.1319 4.8878 4.8878
O 2.4838 4.7280 4.7280
O 4.8878 7.1319 4.8878
O 4.8878 4.8878 7.1319
O 7.1319 7.1319 7.1319
```

Values from the calculation:
calculated volume: 15.88 A^3/atom
total DFT energy (no corrections): -8.13 eV/atom


7.
TbUW: relaxed, GGA-PBE.

```
3
Lattice="0.0000 3.3189 3.3189 3.3189 0.0000 3.3189 3.3189 3.3189 0.0000" Properties=species:S:1:pos:R:3 pbc="T T T"
Tb 0.0000 0.0000 0.0000
U 4.9784 4.9784 4.9784
W 3.3189 3.3189 3.3189
```

Values from the calculation:
energy relative to the elements: 1439 meV/atom
calculated volume: 24.37 A^3/atom
total DFT energy (no corrections): -8.19 eV/atom


8.
Pt5F: relaxed, GGA-PBE.

```
6
Lattice="5.2203 0.0000 0.0000 -2.6101 4.5209 0.0000 0.0000 0.0000 4.4345" Properties=species:S:1:pos:R:3 pbc="T T T"
Pt -1.3051 2.2604 0.0000
Pt 0.0000 3.0139 2.2172
Pt 2.6101 0.0000 0.0000
Pt 1.3051 2.2604 0.0000
Pt 2.6101 1.5070 2.2172
F 0.0000 0.0000 2.2172
```

Values from the calculation:
calculated volume: 17.44 A^3/atom
total DFT energy (no corrections): -5.13 eV/atom


9.
HfFeTcPb: relaxed, GGA-PBE.

```
4
Lattice="0.0000 3.2361 3.2361 3.2361 0.0000 3.2361 3.2361 3.2361 0.0000" Properties=species:S:1:pos:R:3 pbc="T T T"
Hf 0.0000 0.0000 0.0000
Fe 4.8542 4.8542 4.8542
Tc 1.6181 1.6181 1.6181
Pb 3.2361 3.2361 3.2361
```

Values from the calculation:
calculated volume: 16.95 A^3/atom
relative energy among the computed polymorphs: 0 meV per atom
total DFT energy (no corrections): -7.96 eV/atom


10.
NaScZnO3: relaxed, GGA-PBE.

```
12
Lattice="1.6392 -5.5141 0.0000 1.6392 5.5141 0.0000 0.0000 0.0000 8.4268" Properties=species:S:1:pos:R:3 pbc="T T T"
Na 1.6392 3.4080 6.3201
Na 1.6392 -3.4080 2.1067
Sc 1.6392 0.0000 0.0000
Sc 1.6392 0.0000 4.2134
Zn 1.6392 4.5677 2.1067
Zn 1.6392 -4.5677 6.3201
O 1.6392 4.1586 0.2842
O 1.6392 4.1586 3.9292
O 1.6392 0.3816 2.1067
O 1.6392 -0.3816 6.3201
O 1.6392 -4.1586 4.4976
O 1.6392 -4.1586 8.1427
```

Values from the calculation:
calculated volume: 12.69 A^3/atom
total DFT energy (no corrections): -6.10 eV/atom


11.
AgSn2Pd2: relaxed, GGA-PBE.

```
5
Lattice="-2.0828 2.0828 6.0597 2.0828 -2.0828 6.0597 2.0828 2.0828 -6.0597" Properties=species:S:1:pos:R:3 pbc="T T T"
Ag 0.0000 0.0000 0.0000
Sn 0.0000 0.0000 4.6882
Sn 0.0000 0.0000 7.4313
Pd 2.0828 0.0000 3.0299
Pd 0.0000 2.0828 3.0299
```

Values from the calculation:
calculated volume: 21.03 A^3/atom
total DFT energy (no corrections): -4.37 eV/atom


12.
GdInSn: relaxed, GGA-PBE.

```
3
Lattice="0.0000 3.5864 3.5864 3.5864 0.0000 3.5864 3.5864 3.5864 0.0000" Properties=species:S:1:pos:R:3 pbc="T T T"
Gd 0.0000 0.0000 0.0000
In 3.5864 3.5864 3.5864
Sn 1.7932 1.7932 1.7932
```

Values from the calculation:
calculated volume: 30.75 A^3/atom
relative energy among the computed polymorphs: 46 meV per atom
total DFT energy (no corrections): -3.95 eV/atom